# CaMg2CuAs, optimized geometry, DFT PBE
data_CaMg2CuAs
_chemical_formula_sum 'Ca1 Mg2 Cu1 As1'
_cell_length_a 5.929
_cell_length_b 5.929
_cell_length_c 5.272
_cell_angle_alpha 90.00
_cell_angle_beta 90.00
_cell_angle_gamma 90.00
_symmetry_space_group_name_H-M 'P 4/m m m'
_symmetry_Int_Tables_number 123
_symmetry_space_group_name_Hall '-P 4 2'
loop_
_atom_site_label
_atom_site_fract_x
_atom_site_fract_y
_atom_site_fract_z
Ca1 0.000 0.000 0.000
Mg1 0.000 0.500 0.000
Cu1 0.500 0.500 0.500
As1 0.000 0.000 0.500
# Formation enthalpy at 0 K = 1.052 eV per atom
# DFT total energy = -1.736 eV/atom
# Calculated density = 2.0 g cm⁻³
# Total magnetization = 0.00 Bohr magnetons per cell